Record 1
A geometry-optimized TiAgAu2 structure. Source: Alexandria via LeMat-Bulk, functional GGA-PBE.

Computed properties:
M_tot, μB per atom: 0.00
Offset from the most stable computed form, meV/atom: 461
DFT formation energy, eV/atom: 0.219
Space-group type: No. 71
V, A^3/atom: 19.2
Uncorrected energy, eV/atom: -4.106

a b c (Å): 6.210 6.210 6.210
angles (deg): 54.98 154.21 132.34
Positions (direct):
Ti  0.000  0.000  0.000
Ag  0.000  0.500  0.500
Au  0.000  0.239  0.239
Au  0.000  0.761  0.761

Record 2
A geometry-optimized AlZn2CoH structure. Source: Alexandria via LeMat-Bulk, functional GGA-PBE.

Computed properties:
M_tot, μB per atom: 0.00
Space-group type: No. 123
V, A^3/atom: 11.2
Uncorrected energy, eV/atom: -3.270

a b c (Å): 4.033 3.448 4.033
angles (deg): 90.00 90.00 90.00
Positions (direct):
H  0.000  0.000  0.000
Zn  0.000  0.000  0.500
Zn  0.500  0.000  0.000
Co  0.000  0.500  0.000
Al  0.500  0.500  0.500

Record 3
A geometry-optimized TbScC structure. Source: Alexandria via LeMat-Bulk, functional GGA-PBE.

Computed properties:
M_tot, μB per atom: 0.11
Offset from the most stable computed form, meV/atom: 0
DFT formation energy, eV/atom: -0.327
Space-group type: No. 11
V, A^3/atom: 20.8
Uncorrected energy, eV/atom: -7.056

a b c (Å): 3.470 6.348 6.021
angles (deg): 110.13 90.00 89.99
Each line ends with the local moment (μB).
Positions (direct):
Tb  0.937  0.156  0.766  0.10
Tb  0.438  0.696  0.767  0.10
Sc  0.437  0.129  0.258  0.07
Sc  0.938  0.723  0.275  0.07
C  0.938  0.930  0.030  -0.01
C  0.438  0.922  0.503  -0.01

Record 4
A geometry-optimized ErZnPt structure. Source: Alexandria via LeMat-Bulk, functional GGA-PBE.

Computed properties:
M_tot, μB per atom: 0.00
DFT formation energy, eV/atom: -0.723
Space-group type: No. 11
V, A^3/atom: 19.5
Uncorrected energy, eV/atom: -4.682

a b c (Å): 4.020 4.705 6.514
angles (deg): 90.00 108.03 90.00
Positions (direct):
Er  0.898  0.250  0.796
Er  0.102  0.750  0.204
Zn  0.596  0.250  0.193
Zn  0.404  0.750  0.807
Pt  0.234  0.250  0.467
Pt  0.766  0.750  0.533

Record 5
A geometry-optimized CdH7C3NO6 structure. Source: Alexandria via LeMat-Bulk, functional GGA-PBE.

Computed properties:
M_tot, μB per atom: 0.00
Space-group type: No. 33
V, A^3/atom: 10.6
Uncorrected energy, eV/atom: -5.861

a b c (Å): 7.108 9.839 10.944
angles (deg): 90.00 90.00 90.00
Positions (direct):
Cd  0.596  0.006  0.969
Cd  0.404  0.994  0.469
Cd  0.904  0.506  0.469
Cd  0.096  0.494  0.969
H  0.553  0.263  0.822
H  0.447  0.737  0.322
H  0.947  0.763  0.322
H  0.053  0.237  0.822
H  0.631  0.738  0.098
H  0.369  0.262  0.598
H  0.869  0.238  0.598
H  0.131  0.762  0.098
H  0.268  0.527  0.662
H  0.732  0.473  0.162
H  0.232  0.027  0.162
H  0.768  0.973  0.662
H  0.289  0.685  0.611
H  0.711  0.315  0.111
H  0.211  0.185  0.111
H  0.789  0.815  0.611
H  0.794  0.036  0.331
H  0.206  0.964  0.831
H  0.706  0.536  0.831
H  0.294  0.464  0.331
H  0.486  0.598  0.657
H  0.514  0.402  0.157
H  0.014  0.098  0.157
H  0.986  0.902  0.657
H  0.325  0.653  0.762
H  0.675  0.347  0.262
H  0.175  0.153  0.262
H  0.825  0.847  0.762
C  0.696  0.036  0.252
C  0.304  0.964  0.752
C  0.804  0.536  0.752
C  0.196  0.464  0.252
C  0.742  0.716  0.030
C  0.258  0.284  0.530
C  0.758  0.216  0.530
C  0.242  0.784  0.030
C  0.437  0.288  0.886
C  0.563  0.712  0.386
C  0.063  0.788  0.386
C  0.937  0.212  0.886
N  0.343  0.617  0.674
N  0.657  0.383  0.174
N  0.157  0.117  0.174
N  0.843  0.883  0.674
O  0.410  0.206  0.975
O  0.590  0.794  0.475
O  0.090  0.706  0.475
O  0.910  0.294  0.975
O  0.768  0.801  0.945
O  0.232  0.199  0.445
O  0.732  0.301  0.445
O  0.268  0.699  0.945
O  0.773  0.047  0.146
O  0.227  0.953  0.646
O  0.727  0.547  0.646
O  0.273  0.453  0.146
O  0.345  0.394  0.863
O  0.655  0.606  0.363
O  0.155  0.894  0.363
O  0.845  0.106  0.863
O  0.478  0.974  0.771
O  0.522  0.026  0.271
O  0.022  0.474  0.271
O  0.978  0.526  0.771
O  0.330  0.895  0.047
O  0.670  0.105  0.547
O  0.170  0.395  0.547
O  0.830  0.605  0.047

Record 6
A geometry-optimized Sr2LiLaPd structure. Source: Alexandria via LeMat-Bulk, functional GGA-PBE.

Computed properties:
M_tot, μB per atom: 0.00
DFT formation energy, eV/atom: -0.186
Space-group type: No. 123
V, A^3/atom: 41.3
Uncorrected energy, eV/atom: -3.266

a b c (Å): 6.087 6.087 5.572
angles (deg): 90.00 90.00 90.00
Positions (direct):
Sr  0.000  0.500  0.000
Sr  0.500  0.000  0.000
Li  0.500  0.500  0.500
Pd  0.000  0.000  0.000
La  0.000  0.000  0.500